Compound: CrIrPb2O6
Source: the Alexandria database
Functional: PBE+U
Structure: relaxed

Lattice parameters (Å, degrees): 10.127 10.127 10.127 32.79 32.79 32.79
Element x y z (fractional)
Cr 0.093 0.093 0.093
Cr 0.907 0.907 0.907
Ir 0.000 0.000 0.000
Ir 0.500 0.500 0.500
Pb 0.226 0.226 0.226
Pb 0.382 0.382 0.382
Pb 0.618 0.618 0.618
Pb 0.774 0.774 0.774
O 0.108 0.108 0.646
O 0.108 0.646 0.108
O 0.229 0.698 0.698
O 0.302 0.302 0.771
O 0.302 0.771 0.302
O 0.354 0.892 0.892
O 0.646 0.108 0.108
O 0.698 0.229 0.698
O 0.698 0.698 0.229
O 0.771 0.302 0.302
O 0.892 0.354 0.892
O 0.892 0.892 0.354

Summary:
total DFT energy (no corrections): -6.429 eV per atom
magnetization: 0.097 μB/atom
space-group type: No. 166